(1)
Tc4O11 | OQMD | PBE-GGA | optimized geometry; distance to the lowest polymorph of the same formula = 0 meV/atom; magnetization = 0.002 μB/atom
1.0
4.9236 0.0000 0.0000
1.5365 4.7948 0.0000
1.5225 0.1978 8.4450
Tc O
4 11
Cartesian
0.0000 0.0000 0.0000
1.9595 3.3515 2.5799
4.3233 1.9568 7.1308
5.9177 4.1953 5.2829
2.5312 4.2614 4.2871
2.7155 1.4523 7.8202
2.8782 4.4944 1.4557
2.6207 1.8262 2.8448
4.0612 3.7684 7.1862
3.6950 1.1022 5.4273
3.7040 1.4394 0.3069
5.2638 3.7368 3.5455
6.7069 4.8640 6.9990
5.8638 2.5303 5.9869
5.7902 3.3221 1.0146

(2)
Tc4O11 | OQMD | PBE-GGA | optimized geometry; distance to the lowest polymorph of the same formula = 65 meV/atom; magnetization = 0.000 μB/atom
1.0
4.8401 0.0000 0.0000
0.9609 4.7520 0.0000
2.2898 0.6141 8.2183
Tc O
4 11
Cartesian
0.0000 0.0000 0.0000
2.9905 2.9613 7.3851
3.1502 0.4916 5.4963
5.3932 4.5853 2.8463
0.7638 0.7552 1.8655
2.3990 2.1302 5.6037
1.7082 2.9889 0.5813
3.5986 4.7153 3.7858
3.9757 1.1896 7.4023
4.5181 3.6137 6.1355
4.3065 4.3316 1.4047
4.7010 0.8307 4.4644
3.9985 1.8477 0.0312
7.1043 4.7027 6.6528
6.0135 3.0718 3.2920

(3)
Tc4O5 | OQMD | PBE-GGA | optimized geometry; magnetization = 0.869 μB/atom; DFT total energy = -7.5493 eV per atom
1.0
3.8847 0.0000 0.0000
0.0000 3.8847 0.0000
0.0000 0.0000 6.8180
Tc O
4 5
Cartesian
0.0000 0.0000 0.0000
0.0000 0.0000 3.4090
1.9423 1.9423 1.2221
1.9423 1.9423 5.5959
0.0000 1.9423 1.5850
0.0000 1.9423 5.2331
1.9423 0.0000 1.5850
1.9423 0.0000 5.2331
1.9423 1.9423 3.4090

What is the magnetization in the first record?
0.002 μB/atom

Among the records above, which one has the highest magnetization?
Tc4O5

Look up the magnetization of the first one.
0.002 μB/atom